DFT (PBE-GGA) results for a relaxed ErSeS crystal.

Summary:
- crystal system = trigonal
- ΔE to the lowest computed polymorph (meV/atom) = 346
- formation energy without anion corrections (eV per atom) = -1.311
- calculated density (g cm⁻³) = 5.6

a b c (Å): 4.0578 4.0578 5.7949
angles (deg): 90.00 90.00 120.00
Closest atoms and distances in Å follow each position.
Positions (direct):
1 Er 0.6667 0.3333 0.3513  3 S 2.68, 3 Se 2.84
2 S 0.3333 0.6667 0.5751  3 Er 2.68
3 Se 0.0000 0.0000 0.0735  3 Er 2.84